The following is a DFT calculation (PBE) of an optimized crystal structure of Sc2H5Ru.

Results
* total energy: -5.34 eV per atom

POSCAR file:
```
Sc2H5Ru
1.0
-2.3241 2.3241 3.3992
2.3241 -2.3241 3.3992
2.3241 2.3241 -3.3992
Sc H Ru
2 5 1
Cartesian
2.3241 0.0000 0.0000
0.0000 2.3241 0.0000
1.2153 1.2153 -1.6525
1.1088 -1.1088 1.7467
0.0000 0.0000 3.3209
-1.1088 1.1088 1.7467
1.1088 1.1088 1.7467
0.0000 0.0000 5.0724
```